Record 1
Compound: Zr3Be2Ru5
Source: Alexandria
Functional: GGA-PBE
Structure: relaxed

```
20
Lattice="-0.541 -2.331 -2.222 6.998 -5.270 3.824 -6.315 -4.128 5.869" Properties=species:S:1:pos:R:3 pbc="T T T"
Zr -2.935 -5.137 6.104
Zr 3.617 -4.261 3.589
Zr -0.854 -2.262 2.581
Zr 1.537 -7.137 7.112
Zr 0.000 0.000 0.000
Zr 0.341 -4.699 4.846
Be -3.074 -3.215 4.121
Be 3.757 -6.184 5.571
Be 1.869 -2.495 2.162
Be -1.186 -6.903 7.530
Ru 0.766 -2.595 0.136
Ru -0.625 -9.134 7.334
Ru 4.864 -6.935 3.690
Ru -4.723 -4.794 3.781
Ru -1.889 -5.038 3.345
Ru 2.030 -6.692 4.125
Ru -0.771 -7.133 5.271
Ru 0.912 -4.596 2.200
Ru -3.428 -3.229 1.823
Ru 3.228 -3.801 0.801
```

Total magnetization (Bohr magnetons per cell): 0.0
ΔE_f (eV per atom): -0.49
Total DFT energy (no corrections) (eV/cell): -168.8
Symmetry: No. 127

---

Record 2
Compound: Zr2BeRu
Source: Alexandria
Functional: GGA-PBE
Structure: relaxed

```
4
Lattice="5.294 -0.010 0.000 2.454 4.691 0.000 -3.874 -2.340 2.746" Properties=species:S:1:pos:R:3 pbc="T T T"
Ru 2.647 -0.005 1.373
Zr 0.000 0.000 0.000
Zr 1.227 2.345 1.373
Be 3.874 2.340 0.000
```

Total magnetization (Bohr magnetons per cell): 0.0
ΔE_f (eV per atom): -0.11
Total DFT energy (no corrections) (eV/cell): -30.5
Symmetry: No. 119

---

Record 3
Compound: ZrBeRu
Source: Alexandria
Functional: GGA-PBE
Structure: relaxed

```
6
Lattice="3.818 0.000 0.000 0.000 3.818 0.000 0.000 0.000 6.300" Properties=species:S:1:pos:R:3 pbc="T T T"
Ru 0.000 1.909 4.563
Ru 1.909 0.000 1.737
Zr 0.000 1.909 1.061
Zr 1.909 0.000 5.238
Be 0.000 0.000 3.150
Be 1.909 1.909 3.150
```

Total magnetization (Bohr magnetons per cell): 0.0
ΔE_f (eV per atom): -0.34
Total DFT energy (no corrections) (eV/cell): -45.2
Energy above the lowest structure with this stoichiometry (kJ per mole of atoms): 10.35
Symmetry: No. 129